DFT (GGA-PBE) results for crystalline Ti2ZnPt at its relaxed geometry.

a b c (Å): 7.2832 7.2832 5.7630
angles (deg): 50.81 50.81 90.00
With the nearest neighbours (Å) after each atom.
Fractional coordinates of all 8 atoms:
Ti 0.8750 0.8992 0.7500  2 Pt 2.54, 2 Ti 2.61, 2 Zn 2.78
Ti 0.6492 0.1250 0.2500  2 Pt 2.54, 2 Ti 2.61, 2 Zn 2.78
Zn 0.5000 0.5000 0.0000  2 Pt 2.59, 4 Ti 2.78
Zn 0.2500 0.7500 0.5000  2 Pt 2.59, 4 Ti 2.78
Ti 0.1008 0.6250 0.2500  2 Pt 2.54, 2 Ti 2.61, 2 Zn 2.78
Ti 0.3750 0.3508 0.7500  2 Pt 2.54, 2 Ti 2.61, 2 Zn 2.78
Pt 0.0000 0.0000 0.0000  4 Ti 2.54, 2 Zn 2.59
Pt 0.7500 0.2500 0.5000  4 Ti 2.54, 2 Zn 2.59

Calculated values
N(E_F)	11.30	states/eV per cell
SG	I-42d, No. 122
energy of formation from the pure elements	-148	meV/atom

***

DFT (GGA-PBE) results for crystalline Ti4Zn5Pt2 at its relaxed geometry.

a b c (Å): 2.7334 6.8784 9.2235
angles (deg): 93.78 90.00 90.00
With the nearest neighbours (Å) after each atom.
Fractional coordinates of all 11 atoms:
Zn 0.0000 0.5580 0.2908  4 Zn 2.60-2.73, 1 Pt 2.64, 2 Ti 2.88
Pt 0.0000 0.0622 0.6465  2 Zn 2.64-2.65, 6 Ti 2.68-2.78, 3 Pt 2.73-2.78
Zn 0.0000 0.7910 0.8370  4 Zn 2.58-2.73, 1 Pt 2.65, 4 Ti 2.83-2.85
Pt 0.0000 0.9378 0.3535  2 Zn 2.64-2.65, 6 Ti 2.68-2.78, 3 Pt 2.73-2.78
Zn 0.0000 0.5000 0.0000  6 Zn 2.58-2.73
Ti 0.5000 0.2724 0.4511  2 Ti 2.73, 4 Pt 2.75-2.78, 6 Zn 2.88-2.99
Zn 0.0000 0.2090 0.1630  4 Zn 2.58-2.73, 1 Pt 2.65, 4 Ti 2.83-2.85
Ti 0.5000 0.1489 0.8921  2 Pt 2.68, 3 Ti 2.73-2.95, 6 Zn 2.83-2.89
Ti 0.5000 0.8511 0.1079  2 Pt 2.68, 3 Ti 2.73-2.95, 6 Zn 2.83-2.89
Ti 0.5000 0.7276 0.5489  2 Ti 2.73, 4 Pt 2.75-2.78, 6 Zn 2.88-2.99
Zn 0.0000 0.4420 0.7092  4 Zn 2.60-2.73, 1 Pt 2.64, 2 Ti 2.88

Calculated values
N(E_F)	9.80	states/eV per cell
SG	P2/m, No. 10
energy of formation from the pure elements	-402	meV/atom

***

DFT (GGA-PBE) results for crystalline Ti9Zn4Pt11 at its relaxed geometry.

a b c (Å): 2.7874 12.0294 12.0294
angles (deg): 112.49 90.00 90.00
With the nearest neighbours (Å) after each atom.
Fractional coordinates of all 24 atoms:
Pt 0.0000 0.8328 0.1672  8 Ti 2.76-2.86, 4 Pt 2.79-3.01
Ti 0.5000 0.3782 0.8420  8 Pt 2.71-2.86, 3 Ti 2.79-2.94, 1 Zn 2.81
Ti 0.5000 0.7896 0.9563  8 Pt 2.72-2.78, 2 Ti 2.79, 1 Zn 2.88
Zn 0.5000 0.7529 0.5628  6 Pt 2.62-2.71, 2 Zn 2.79, 3 Ti 2.81-2.88
Ti 0.5000 0.9563 0.7896  8 Pt 2.72-2.78, 2 Ti 2.79, 1 Zn 2.88
Pt 0.0000 0.0435 0.4046  6 Ti 2.71-2.81, 2 Zn 2.71, 4 Pt 2.79-3.01
Pt 0.0000 0.7438 0.7438  4 Zn 2.62, 4 Ti 2.78, 2 Pt 2.79
Pt 0.0000 0.4046 0.0435  6 Ti 2.71-2.81, 2 Zn 2.71, 4 Pt 2.79-3.01
Ti 0.5000 0.2104 0.0437  8 Pt 2.72-2.78, 2 Ti 2.79, 1 Zn 2.88
Pt 0.0000 0.0000 0.0000  8 Ti 2.76, 2 Pt 2.79
Pt 0.0000 0.6331 0.3669  4 Zn 2.64, 2 Pt 2.79, 4 Ti 2.83
Pt 0.0000 0.2562 0.2562  4 Zn 2.62, 4 Ti 2.78, 2 Pt 2.79
Zn 0.5000 0.5628 0.7529  6 Pt 2.62-2.71, 2 Zn 2.79, 3 Ti 2.81-2.88
Ti 0.5000 0.6218 0.1580  8 Pt 2.71-2.86, 3 Ti 2.79-2.94, 1 Zn 2.81
Ti 0.5000 0.8420 0.3782  8 Pt 2.71-2.86, 3 Ti 2.79-2.94, 1 Zn 2.81
Pt 0.0000 0.9565 0.5954  6 Ti 2.71-2.81, 2 Zn 2.71, 4 Pt 2.79-3.01
Pt 0.0000 0.1672 0.8328  8 Ti 2.76-2.86, 4 Pt 2.79-3.01
Pt 0.0000 0.3669 0.6331  4 Zn 2.64, 2 Pt 2.79, 4 Ti 2.83
Ti 0.5000 0.0437 0.2104  8 Pt 2.72-2.78, 2 Ti 2.79, 1 Zn 2.88
Ti 0.5000 0.1580 0.6218  8 Pt 2.71-2.86, 3 Ti 2.79-2.94, 1 Zn 2.81
Pt 0.0000 0.5954 0.9565  6 Ti 2.71-2.81, 2 Zn 2.71, 4 Pt 2.79-3.01
Zn 0.5000 0.4372 0.2471  6 Pt 2.62-2.71, 2 Zn 2.79, 3 Ti 2.81-2.88
Zn 0.5000 0.2471 0.4372  6 Pt 2.62-2.71, 2 Zn 2.79, 3 Ti 2.81-2.88
Ti 0.5000 0.5000 0.5000  2 Ti 2.79, 4 Zn 2.84, 4 Pt 3.00

Calculated values
N(E_F)	18.08	states/eV per cell
SG	Cmmm, No. 65
energy of formation from the pure elements	-782	meV/atom

***

DFT (GGA-PBE) results for crystalline Ti2Zn3Pt at its relaxed geometry.

a b c (Å): 3.6999 6.5261 9.0553
angles (deg): 116.74 90.00 106.47
With the nearest neighbours (Å) after each atom.
Fractional coordinates of all 12 atoms:
Zn 0.0475 0.0950 0.3830  8 Zn 2.64-2.88, 3 Ti 2.73-2.94
Pt 0.1239 0.2479 0.1189  7 Ti 2.73-2.94, 4 Zn 2.75-2.96, 1 Pt 2.83
Pt 0.8761 0.7521 0.8811  7 Ti 2.73-2.94, 4 Zn 2.75-2.96, 1 Pt 2.83
Zn 0.2935 0.5870 0.6266  8 Zn 2.74-2.83, 2 Pt 2.75, 2 Ti 2.80-2.83
Zn 0.7065 0.4130 0.3734  8 Zn 2.74-2.83, 2 Pt 2.75, 2 Ti 2.80-2.83
Zn 0.9525 0.9050 0.6170  8 Zn 2.64-2.88, 3 Ti 2.73-2.94
Ti 0.4625 0.9249 0.1323  4 Zn 2.73-2.95, 4 Pt 2.73-2.78, 4 Ti 2.84-2.96
Ti 0.5375 0.0751 0.8677  4 Zn 2.73-2.95, 4 Pt 2.73-2.78, 4 Ti 2.84-2.96
Zn 0.6260 0.2520 0.6177  8 Zn 2.64-2.86, 3 Ti 2.72-2.95, 1 Pt 2.91
Ti 0.7902 0.5803 0.1323  4 Zn 2.72-2.94, 3 Pt 2.74-2.94, 5 Ti 2.81-2.94
Ti 0.2098 0.4197 0.8677  4 Zn 2.72-2.94, 3 Pt 2.74-2.94, 5 Ti 2.81-2.94
Zn 0.3740 0.7480 0.3823  8 Zn 2.64-2.86, 3 Ti 2.72-2.95, 1 Pt 2.91

Calculated values
N(E_F)	8.29	states/eV per cell
SG	C2/m, No. 12
energy of formation from the pure elements	-349	meV/atom

***

DFT (GGA-PBE) results for crystalline Ti2Zn2Pt at its relaxed geometry.

a b c (Å): 2.8557 2.8557 9.6345
angles (deg): 98.52 98.52 90.00
With the nearest neighbours (Å) after each atom.
Fractional coordinates of all 5 atoms:
Ti 0.3986 0.3986 0.7972  4 Pt 2.78, 4 Zn 2.79, 4 Ti 2.86
Zn 0.7962 0.7962 0.5924  8 Zn 2.67-2.86, 4 Ti 2.79
Ti 0.6014 0.6014 0.2028  4 Pt 2.78, 4 Zn 2.79, 4 Ti 2.86
Zn 0.2038 0.2038 0.4076  8 Zn 2.67-2.86, 4 Ti 2.79
Pt 0.0000 0.0000 0.0000  8 Ti 2.78, 4 Pt 2.86

Calculated values
N(E_F)	3.74	states/eV per cell
SG	I4/mmm, No. 139
energy of formation from the pure elements	-449	meV/atom

***

DFT (GGA-PBE) results for crystalline TiZn2Pt5 at its relaxed geometry.

a b c (Å): 3.9997 3.9997 8.0316
angles (deg): 104.42 104.42 90.00
With the nearest neighbours (Å) after each atom.
Fractional coordinates of all 8 atoms:
Ti 0.0000 0.0000 0.0000  12 Pt 2.79-2.83
Zn 0.7477 0.7477 0.4953  8 Pt 2.68-2.73, 4 Zn 2.83
Pt 0.8710 0.3710 0.7420  4 Zn 2.68-2.73, 6 Pt 2.79-2.83, 2 Ti 2.79
Pt 0.6290 0.1290 0.2580  4 Zn 2.68-2.73, 2 Ti 2.79, 6 Pt 2.79-2.83
Pt 0.3710 0.8710 0.7420  4 Zn 2.68-2.73, 2 Ti 2.79, 6 Pt 2.79-2.83
Pt 0.1290 0.6290 0.2580  4 Zn 2.68-2.73, 6 Pt 2.79-2.83, 2 Ti 2.79
Pt 0.5000 0.5000 0.0000  8 Pt 2.79, 4 Ti 2.83
Zn 0.2523 0.2523 0.5047  8 Pt 2.68-2.73, 4 Zn 2.83

Calculated values
N(E_F)	5.29	states/eV per cell
SG	I4/mmm, No. 139
energy of formation from the pure elements	-695	meV/atom